Density functional theory data (PBE) for Ac8Ag2Hg after structural relaxation.

- energy of formation (eV per formula unit) = -1.474
- ρ (g cm⁻³) = 8.85
- magnetic moment (μB/f.u.) = 0.0

a = 5.700 Å, b = 7.676 Å, c = 10.403 Å
α = 106.15°, β = 105.90°, γ = 90.00°
Positions (direct):
Hg: 0.500 0.000 0.000
Ag: 0.820 0.269 0.640
Ac: 0.670 0.987 0.340
Ac: 0.199 0.334 0.399
Ac: 0.801 0.666 0.601
Ac: 0.330 0.013 0.660
Ac: 0.027 0.774 0.054
Ag: 0.180 0.731 0.360
Ac: 0.408 0.536 0.816
Ac: 0.973 0.226 0.946
Ac: 0.592 0.464 0.184

---

Density functional theory data (PBE) for TcRhBr2 after structural relaxation.

- distance to the lowest polymorph of the same formula (meV per atom) = 913
- ρ (g cm⁻³) = 7.95
- magnetic moment (μB/f.u.) = 2.6
- formation energy without anion corrections (eV per atom) = 1.033

a = 4.742 Å, b = 4.742 Å, c = 4.742 Å
α = 60.00°, β = 60.00°, γ = 60.00°
Positions (direct):
Rh: 0.500 0.500 0.500
Br: 0.000 0.000 0.000
Tc: 0.750 0.750 0.750
Br: 0.250 0.250 0.250

---

Density functional theory data (PBE) for TiGa2Br after structural relaxation.

- distance to the lowest polymorph of the same formula (meV per atom) = 0
- ρ (g cm⁻³) = 4.86
- magnetic moment (μB/f.u.) = 0.0
- formation energy without anion corrections (eV per atom) = 0.160

a = 8.512 Å, b = 8.512 Å, c = 6.525 Å
α = 49.29°, β = 49.29°, γ = 90.00°
Positions (direct):
Ti: 0.500 0.500 0.000
Ga: 0.189 0.625 0.250
Ga: 0.561 0.125 0.250
Br: 0.000 0.000 0.000
Ti: 0.250 0.750 0.500
Br: 0.750 0.250 0.500
Ga: 0.875 0.811 0.750
Ga: 0.375 0.439 0.750

---

Density functional theory data (PBE) for ScPPdS2 after structural relaxation.

- distance to the lowest polymorph of the same formula (meV per atom) = 243
- ρ (g cm⁻³) = 3.54
- magnetic moment (μB/f.u.) = 0.0
- formation energy without anion corrections (eV per atom) = 0.209

a = 4.802 Å, b = 4.802 Å, c = 5.013 Å
α = 90.00°, β = 90.00°, γ = 90.00°
Positions (direct):
P: 0.000 0.000 0.500
Sc: 0.000 0.000 0.000
Pd: 0.500 0.500 0.500
S: 0.500 0.000 0.000
S: 0.000 0.500 0.000

---

Density functional theory data (PBE) for SmAl2I8 after structural relaxation.

- ρ (g cm⁻³) = 3.51
- magnetic moment (μB/f.u.) = 0.8
- formation energy without anion corrections (eV per atom) = -0.806

a = 7.317 Å, b = 9.069 Å, c = 9.069 Å
α = 76.42°, β = 82.90°, γ = 82.90°
Positions (direct):
I: 0.712 0.190 0.190
Al: 0.654 0.804 0.804
I: 0.768 0.720 0.079
I: 0.203 0.370 0.370
Sm: 0.000 0.000 0.000
I: 0.232 0.921 0.280
I: 0.232 0.280 0.921
Al: 0.346 0.196 0.196
I: 0.768 0.079 0.720
I: 0.288 0.810 0.810
I: 0.797 0.630 0.630

---

Density functional theory data (PBE) for TaCl2 after structural relaxation.

- ρ (g cm⁻³) = 6.29
- magnetic moment (μB/f.u.) = 2.2
- formation energy without anion corrections (eV per atom) = 0.357

a = 4.173 Å, b = 4.173 Å, c = 8.819 Å
α = 90.00°, β = 90.00°, γ = 120.00°
Positions (direct):
Cl: 0.333 0.667 0.750
Cl: 0.000 0.000 0.000
Ta: 0.333 0.667 0.250
Cl: 0.667 0.333 0.250
Cl: 0.000 0.000 0.500
Ta: 0.667 0.333 0.750

---

Density functional theory data (PBE) for Ac4Ag2Hg after structural relaxation.

- energy of formation (eV per formula unit) = -1.385
- distance to the lowest polymorph of the same formula (meV per atom) = 0
- ρ (g cm⁻³) = 8.86
- magnetic moment (μB/f.u.) = 0.0

a = 5.608 Å, b = 5.608 Å, c = 9.676 Å
α = 73.16°, β = 73.16°, γ = 60.00°
Positions (direct):
Hg: 0.000 0.000 0.000
Ac: 0.126 0.126 0.623
Ag: 0.248 0.248 0.255
Ac: 0.377 0.377 0.870
Ac: 0.623 0.623 0.130
Ag: 0.752 0.752 0.745
Ac: 0.874 0.874 0.377

---

Density functional theory data (PBE) for BaAgO3 after structural relaxation.

- ρ (g cm⁻³) = 5.74
- magnetic moment (μB/f.u.) = 1.0
- formation energy without anion corrections (eV per atom) = -0.864

a = 6.539 Å, b = 6.539 Å, c = 6.539 Å
α = 53.92°, β = 53.92°, γ = 53.92°
Positions (direct):
O: 0.444 0.020 0.825
O: 0.556 0.980 0.175
Ag: 0.839 0.839 0.839
O: 0.175 0.556 0.980
Ba: 0.625 0.625 0.625
O: 0.980 0.175 0.556
Ba: 0.375 0.375 0.375
O: 0.020 0.825 0.444
O: 0.825 0.444 0.020
Ag: 0.161 0.161 0.161

---

Density functional theory data (PBE) for PrYMgAu after structural relaxation.

- energy of formation (eV per formula unit) = -1.808
- distance to the lowest polymorph of the same formula (meV per atom) = 0
- ρ (g cm⁻³) = 7.07
- magnetic moment (μB/f.u.) = 0.0

a = 3.765 Å, b = 3.765 Å, c = 7.472 Å
α = 90.00°, β = 90.00°, γ = 90.00°
Positions (direct):
Y: 0.000 0.000 0.339
Au: 0.500 0.500 0.130
Mg: 0.500 0.500 0.592
Pr: 0.000 0.000 0.868

---

Density functional theory data (PBE) for SmY10Tm4 after structural relaxation.

- energy of formation (eV per formula unit) = 10.949
- ρ (g cm⁻³) = 5.05
- magnetic moment (μB/f.u.) = 0.0

a = 7.676 Å, b = 9.395 Å, c = 9.395 Å
α = 80.39°, β = 65.89°, γ = 65.89°
Positions (direct):
Y: 0.849 0.699 0.099
Y: 0.547 0.099 0.301
Y: 0.052 0.099 0.301
Tm: 0.400 0.798 0.401
Y: 0.647 0.301 0.901
Y: 0.453 0.901 0.699
Tm: 0.802 0.599 0.798
Y: 0.750 0.500 0.500
Y: 0.151 0.301 0.901
Y: 0.353 0.699 0.099
Y: 0.948 0.901 0.699
Tm: 0.198 0.401 0.202
Tm: 0.600 0.202 0.599
Y: 0.250 0.500 0.500
Sm: 0.000 0.000 0.000

---

Density functional theory data (PBE) for Y3MgN after structural relaxation.

- distance to the lowest polymorph of the same formula (meV per atom) = 0
- ρ (g cm⁻³) = 4.34
- magnetic moment (μB/f.u.) = 0.0
- formation energy without anion corrections (eV per atom) = -0.722

a = 4.887 Å, b = 4.887 Å, c = 4.887 Å
α = 90.00°, β = 90.00°, γ = 90.00°
Positions (direct):
Y: 0.000 0.500 0.000
Mg: 0.500 0.500 0.500
N: 0.000 0.000 0.000
Y: 0.000 0.000 0.500
Y: 0.500 0.000 0.000

---

Density functional theory data (PBE) for LaMnMo after structural relaxation.

- energy of formation (eV per formula unit) = 1.817
- distance to the lowest polymorph of the same formula (meV per atom) = 246
- ρ (g cm⁻³) = 8.26
- magnetic moment (μB/f.u.) = 2.1

a = 7.446 Å, b = 7.213 Å, c = 2.997 Å
α = 82.61°, β = 73.87°, γ = 23.52°
Positions (direct):
Mn: 0.687 0.687 0.313
La: 0.002 0.002 0.998
Mo: 0.311 0.311 0.689